No. 1
First-principles (PBE-GGA) data for LiIn2PbBr5 after structural relaxation, as listed in Alexandria.

Cell lengths 4.4365, 19.1812, 14.2800 Å; angles 90.00, 90.00, 90.00 degrees
Last column: nearest neighbours and their distance in Å.
Space group Cmc2_1 (No. 36)
Asymmetric unit:
1 Li 0.0000 0.0526 0.0000  4 Br 2.51-2.62
2 In 0.0000 0.3724 0.8959  6 Br 3.28-3.48
3 In 0.0000 0.4106 0.2373  5 Br 3.26-3.38
4 Pb 0.0000 0.2950 0.6016  6 Br 3.01-3.14
5 Br 0.0000 0.0076 0.3438  1 Li 2.51
6 Br 0.0000 0.1398 0.5724  1 Pb 3.01, 2 In 3.37
7 Br 0.0000 0.1850 0.9553  1 Li 2.62
8 Br 0.0000 0.2147 0.2484  2 Pb 3.06
9 Br 0.0000 0.4584 0.5917  2 Li 2.58

Summary:
crystal system	orthorhombic
ΔE_f (raw)	-0.94	eV per atom
DFT total energy	-3.1000	eV/atom
total moment	0.0	μB/f.u.
D(E_F)	0.00	states/eV per atom

=====

No. 2
First-principles (PBE-GGA) data for Li2InPbBr8 after structural relaxation, as listed in Alexandria.

Cell lengths 7.8511, 7.8511, 7.9170 Å; angles 90.00, 90.00, 120.00 degrees
Last column: nearest neighbours and their distance in Å.
Space group P-3 (No. 147)
Asymmetric unit:
1 Li 0.3333 0.6667 0.2540  4 Br 2.43-2.63
2 In 0.0000 0.0000 0.0000  6 Br 2.72
3 Pb 0.0000 0.0000 0.5000  6 Br 3.13
4 Br 0.0587 0.2980 0.2120  1 Li 2.63, 1 In 2.72
5 Br 0.3333 0.6667 0.5611  1 Li 2.43

Summary:
crystal system	trigonal
ΔE_f (raw)	-0.84	eV per atom
DFT total energy	-2.8094	eV/atom
total moment	1.1	μB/f.u.
D(E_F)	0.88	states/eV per atom

=====

No. 3
First-principles (PBE-GGA) data for LiIn2PbBr6 after structural relaxation, as listed in Alexandria.

Cell lengths 7.4928, 7.4972, 8.2386 Å; angles 62.94, 89.99, 60.04 degrees
Last column: nearest neighbours and their distance in Å.
Space group P1 (No. 1)
Asymmetric unit:
1 Li 0.0000 0.0000 0.0000  3 Br 2.71
2 In 0.3069 0.3852 0.9231  6 Br 2.96
3 In 0.7980 0.4033 0.3960  6 Br 3.22-3.26
4 Pb 0.4983 0.0026 0.4968  6 Br 3.01-3.16
5 Br 0.1142 0.1618 0.1880  1 Li 2.71, 1 In 2.96
6 Br 0.2185 0.1859 0.7196  2 In 2.96-3.26, 1 Pb 3.01, 1 Li 3.05
7 Br 0.3486 0.5361 0.1879  1 Li 2.71, 1 In 2.96
8 Br 0.5941 0.5008 0.7191  2 In 2.96-3.26, 1 Pb 3.01, 1 Li 3.06
9 Br 0.7226 0.9279 0.1875  1 Li 2.71, 1 In 2.96
10 Br 0.9044 0.8761 0.7192  2 In 2.96-3.26, 1 Pb 3.01, 1 Li 3.06

Summary:
crystal system	triclinic
ΔE_f (raw)	-0.87	eV per atom
DFT total energy	-2.9828	eV/atom
total moment	0.0	μB/f.u.
D(E_F)	0.54	states/eV per atom

=====

No. 4
First-principles (PBE-GGA) data for LiInPb2Br after structural relaxation, as listed in Alexandria.

Cell lengths 6.0904, 6.0904, 4.4399 Å; angles 90.00, 90.00, 90.00 degrees
Last column: nearest neighbours and their distance in Å.
Space group P4/mmm (No. 123)
Asymmetric unit:
1 Li 0.0000 0.0000 0.0000  2 Br 2.22
2 In 0.5000 0.5000 0.0000  8 Pb 3.77
3 Pb 0.0000 0.5000 0.5000  2 Br 3.05
4 Br 0.0000 0.0000 0.5000  2 Li 2.22

Summary:
crystal system	tetragonal
ΔE_f (raw)	-0.01	eV per atom
DFT total energy	-2.7574	eV/atom
total moment	0.0	μB/f.u.
D(E_F)	0.41	states/eV per atom

=====

No. 5
First-principles (PBE-GGA) data for Li2PrInBr6 after structural relaxation, as listed in Alexandria.

Cell lengths 7.3859, 7.3859, 19.9075 Å; angles 90.00, 90.00, 120.00 degrees
Last column: nearest neighbours and their distance in Å.
Space group R3 (No. 146, hexagonal axes)
Asymmetric unit:
1 Li 0.0000 0.0000 0.0000  6 Br 2.70-2.96
2 Li 0.0000 0.0000 0.4958  6 Br 2.79-2.91
3 Pr 0.0000 0.0000 0.6926  6 Br 2.93-2.95
4 In 0.0000 0.0000 0.2098  6 Br 3.24-3.37
5 Br 0.0004 0.3589 0.7560  2 Li 2.79-2.96, 1 Pr 2.93
6 Br 0.0068 0.5864 0.2596  2 Li 2.70-2.91, 1 Pr 2.95

Summary:
crystal system	trigonal
ΔE_f (raw)	-1.47	eV per atom
DFT total energy	-3.6045	eV/atom
total moment	0.0	μB/f.u.
D(E_F)	0.00	states/eV per atom

=====

No. 6
First-principles (PBE-GGA) data for LiInPtBr after structural relaxation, as listed in Alexandria.

Cell lengths 3.6010, 3.7957, 6.8009 Å; angles 90.00, 105.23, 90.00 degrees
Last column: nearest neighbours and their distance in Å.
Space group Pm (No. 6)
Asymmetric unit:
1 Li 0.0000 0.0000 0.0000  4 Br 2.72-2.73, 2 Pt 2.94-2.95
2 In 0.2209 0.5000 0.4417  4 Pt 2.68, 1 Br 2.90
3 Pt 0.6779 0.0000 0.3552  4 In 2.68, 2 Li 2.94-2.95
4 Br 0.4421 0.5000 0.8840  4 Li 2.72-2.73, 1 In 2.90

Summary:
crystal system	monoclinic
ΔE_f (raw)	-0.68	eV per atom
DFT total energy	-3.7743	eV/atom
total moment	0.0	μB/f.u.
D(E_F)	0.18	states/eV per atom